Material: MgTcRh
Method: DFT, PBE-GGA
State: optimized geometry

abc: 4.2127 4.2127 4.2127
angles: 60.00 60.00 60.00
Closest atoms and distances in Å follow each position.
Element x y z (fractional)
Tc  0.2500  0.2500  0.2500  4 Rh 2.58
Rh  0.5000  0.5000  0.5000  4 Tc 2.58, 4 Mg 2.58
Mg  0.7500  0.7500  0.7500  4 Rh 2.58

Output
DFT total energy in eV per atom: -6.173
Magnetization in μB/cell: 0.00
Energy of formation from the pure elements in meV/atom: 264
ΔE to the lowest computed polymorph in eV per atom: 0.437
Calculated volume in Å³/f.u.: 52.87
Symmetry: F-43m (216)